Record 1
NaHgPdPt | PBE | relaxed

Computed properties:
- E_tot: -0.2429 Ry/atom
- Formation enthalpy at 0 K: -0.4 eV/f.u.

Lattice parameters (Å, degrees): 4.662 4.662 4.662 60.00 60.00 60.00
Sites, in units of the cell vectors:
Na 0.250 0.250 0.250
Pd 0.500 0.500 0.500
Hg 0.000 0.000 0.000
Pt 0.750 0.750 0.750



Record 2
Ba3Ir5 | PBE | relaxed

Computed properties:
- E_tot: -0.4385 Ry/atom
- Formation enthalpy at 0 K: 2.3 eV/f.u.

Lattice parameters (Å, degrees): 10.405 10.405 4.736 90.00 90.00 120.00
Sites, in units of the cell vectors:
Ir 0.333 0.667 0.000
Ir 0.667 0.333 0.500
Ir 0.667 0.333 0.000
Ir 0.333 0.667 0.500
Ir 0.141 0.000 0.250
Ir 0.859 0.000 0.750
Ir 0.000 0.141 0.250
Ir 0.859 0.859 0.250
Ir 0.141 0.141 0.750
Ir 0.000 0.859 0.750
Ba 0.633 0.000 0.250
Ba 0.367 0.000 0.750
Ba 0.000 0.633 0.250
Ba 0.367 0.367 0.250
Ba 0.633 0.633 0.750
Ba 0.000 0.367 0.750



Record 3
Tm2PaMnC4 | PBE | relaxed

Computed properties:
- E_tot: -0.6030 Ry/atom
- Formation enthalpy at 0 K: -1.1 eV/f.u.

Lattice parameters (Å, degrees): 3.407 5.959 11.716 90.00 90.00 106.61
Site moments in Bohr magnetons follow the coordinates.
Sites, in units of the cell vectors:
Tm 0.368 0.736 0.546  0.01
Tm 0.632 0.264 0.046  0.01
Tm 0.632 0.264 0.454  0.01
Tm 0.368 0.736 0.954  0.01
Pa 0.089 0.178 0.750  0.13
Pa 0.911 0.822 0.250  0.13
Mn 0.829 0.659 0.750  0.61
Mn 0.171 0.341 0.250  0.61
C 0.273 0.546 0.137  -0.02
C 0.727 0.454 0.637  -0.02
C 0.727 0.454 0.863  -0.02
C 0.273 0.546 0.363  -0.02
C 0.000 0.000 0.500  -0.01
C 0.000 0.000 0.000  -0.01
C 0.424 0.848 0.750  -0.03
C 0.576 0.152 0.250  -0.03



Record 4
Ba2HfCl | PBE | relaxed

Computed properties:
- E_tot: -0.2826 Ry/atom
- Energy above the most stable polymorph in this dataset: 0.000 eV/atom

Lattice parameters (Å, degrees): 8.952 8.952 7.582 53.82 53.82 90.00
Site moments in Bohr magnetons follow the coordinates.
Sites, in units of the cell vectors:
Hf 0.000 0.000 0.000  1.13
Hf 0.750 0.250 0.500  1.13
Ba 0.577 0.125 0.250  0.15
Ba 0.173 0.625 0.250  0.14
Ba 0.375 0.423 0.750  0.15
Ba 0.875 0.827 0.750  0.14
Cl 0.500 0.500 0.000  0.03
Cl 0.250 0.750 0.500  0.03



Record 5
La7Ag2Ru2 | PBE | relaxed

Computed properties:
- E_tot: -0.4057 Ry/atom
- Formation enthalpy at 0 K: -2.0 eV/f.u.
- Energy above the most stable polymorph in this dataset: 0.045 eV/atom

Lattice parameters (Å, degrees): 7.117 7.207 7.117 90.00 110.31 90.00
Sites, in units of the cell vectors:
La 0.000 0.257 0.500
La 0.500 0.743 0.000
La 0.000 0.743 0.500
La 0.500 0.257 0.000
La 0.000 0.000 0.000
La 0.500 0.752 0.500
La 0.500 0.248 0.500
Ag 0.830 0.500 0.830
Ag 0.170 0.500 0.170
Ru 0.702 0.000 0.298
Ru 0.298 0.000 0.702



Record 6
CePrYLu | PBE | relaxed

Computed properties:
- E_tot: -0.3879 Ry/atom
- Formation enthalpy at 0 K: 0.6 eV/f.u.

Lattice parameters (Å, degrees): 5.691 5.691 5.691 60.00 60.00 60.00
Site moments in Bohr magnetons follow the coordinates.
Sites, in units of the cell vectors:
Pr 0.000 0.000 0.000  -0.02
Y 0.250 0.250 0.250  0.00
Lu 0.750 0.750 0.750  -0.01
Ce 0.500 0.500 0.500  0.61



Record 7
Sc2BeBiC | PBE | relaxed

Computed properties:
- E_tot: -0.4616 Ry/atom
- Formation enthalpy at 0 K: -1.9 eV/f.u.

Lattice parameters (Å, degrees): 4.733 4.733 3.717 90.00 90.00 90.00
Sites, in units of the cell vectors:
Sc 0.000 0.500 0.000
Sc 0.500 0.000 0.000
Be 0.000 0.000 0.500
C 0.000 0.000 0.000
Bi 0.500 0.500 0.500



Record 8
Ce2Tl2Ag | PBE | relaxed

Computed properties:
- E_tot: -0.2981 Ry/atom
- Formation enthalpy at 0 K: -0.8 eV/f.u.
- Energy above the most stable polymorph in this dataset: 0.000 eV/atom

Lattice parameters (Å, degrees): 4.973 6.136 10.369 94.24 76.13 66.09
Site moments in Bohr magnetons follow the coordinates.
Sites, in units of the cell vectors:
Ce 0.690 0.267 0.353  0.89
Ce 0.928 0.236 0.907  0.95
Ce 0.310 0.733 0.647  0.89
Ce 0.072 0.764 0.093  0.95
Tl 0.049 0.311 0.590  0.00
Tl 0.668 0.797 0.866  -0.01
Tl 0.951 0.689 0.410  0.00
Tl 0.332 0.203 0.134  -0.01
Ag 0.600 0.128 0.672  0.01
Ag 0.400 0.872 0.328  0.01